(1)
Density functional theory data (PBE) for LiTmTlAu after structural relaxation.

Output
V, Å³ per cell: 341.0
ΔH_f (0 K), eV per atom: -0.4832

Cell lengths 6.986, 6.986, 6.986 Å; angles 90.00, 90.00, 90.00 degrees
Space group F-43m (No. 216)
Unique sites:
Li (0.000, 0.000, 0.000) x4
Tm (0.000, 0.000, 0.500) x4
Tl (0.250, 0.250, 0.750) x4
Au (0.250, 0.250, 0.250) x4

***

(2)
Density functional theory data (PBE) for LiTlZn2Au after structural relaxation.

Output
V, Å³ per cell: 136.4
ΔH_f (0 K), eV per atom: 0.1318

Cell lengths 4.938, 4.938, 5.592 Å; angles 90.00, 90.00, 90.00 degrees
Space group P4/mmm (No. 123)
Unique sites:
Li (0.000, 0.000, 0.000) x1
Tl (0.500, 0.500, 0.000) x1
Zn (0.000, 0.500, 0.500) x2
Au (0.500, 0.500, 0.500) x1

***

(3)
Density functional theory data (PBE) for LiTlZnAu after structural relaxation.

Output
V, Å³ per cell: 295.0
ΔH_f (0 K), eV per atom: -0.2016

Cell lengths 6.657, 6.657, 6.657 Å; angles 90.00, 90.00, 90.00 degrees
Space group F-43m (No. 216)
Unique sites:
Li (0.000, 0.000, 0.000) x4
Tl (0.250, 0.250, 0.250) x4
Zn (0.000, 0.000, 0.500) x4
Au (0.250, 0.250, 0.750) x4

***

(4)
Density functional theory data (PBE) for LiZr2TlAu after structural relaxation.

Output
V, Å³ per cell: 146.9
ΔH_f (0 K), eV per atom: 0.6939

Cell lengths 5.275, 5.275, 5.279 Å; angles 90.00, 90.00, 90.00 degrees
Space group P4/mmm (No. 123)
Unique sites:
Li (0.000, 0.000, 0.000) x1
Zr (0.000, 0.500, 0.500) x2
Tl (0.500, 0.500, 0.000) x1
Au (0.500, 0.500, 0.500) x1

***

(5)
Density functional theory data (PBE) for LiTm2Au6 after structural relaxation.

Output
V, Å³ per cell: 708.7
ΔH_f (0 K), eV per atom: -0.6385

Cell lengths 13.518, 10.270, 5.186 Å; angles 90.00, 100.14, 90.00 degrees
Space group C2/c (No. 15)
Unique sites:
Li (0.000, 0.122, 0.250) x4
Tm (0.164, 0.375, 0.076) x8
Au (0.058, 0.358, 0.519) x8
Au (0.107, 0.119, 0.828) x8
Au (0.219, 0.122, 0.367) x8

***

(6)
Density functional theory data (PBE) for LiTmAu2 after structural relaxation.

Output
V, Å³ per cell: 77.2
ΔH_f (0 K), eV per atom: -0.7215

Cell lengths 3.499, 3.499, 6.304 Å; angles 90.00, 90.00, 90.00 degrees
Space group P4/mmm (No. 123)
Unique sites:
Li (0.000, 0.000, 0.000) x1
Tm (0.000, 0.000, 0.500) x1
Au (0.500, 0.500, 0.228) x2